# TiNbRh

A relaxed TiNbRh crystal (PBE, the Alexandria database).

The structure in POSCAR format:
```
TiNbRh
1.0
4.444 0.000 0.000
-2.222 3.849 0.000
0.000 0.000 2.814
Ti Nb Rh
1 1 1
Cartesian
0.000 0.000 0.000
0.000 2.566 1.865
2.222 1.283 0.920
```

## Properties
E_form = -0.288 eV/atom
DFT total energy = -0.641 Ry/atom
Fermi-level density of states = 0.801 states/eV per atom
relative energy among the computed polymorphs = 0.000 eV/atom

# Pd2Pb2Au

A relaxed Pd2Pb2Au crystal (PBE, the Alexandria database).

The structure in POSCAR format:
```
Pd2Pb2Au
1.0
7.869 0.000 0.000
0.000 7.869 0.000
0.000 0.000 3.471
Pd Pb Au
4 4 2
Cartesian
1.038 2.897 0.000
2.897 6.831 0.000
4.972 1.038 0.000
6.831 4.972 0.000
1.276 5.211 1.736
2.658 1.276 1.736
5.211 6.593 1.736
6.593 2.658 1.736
0.000 0.000 1.736
3.935 3.935 1.736
```

## Properties
E_form = -0.021 eV/atom
DFT total energy = -0.311 Ry/atom
Fermi-level density of states = 0.496 states/eV per atom
relative energy among the computed polymorphs = 0.144 eV/atom

# FeAs3

A relaxed FeAs3 crystal (PBE, the Alexandria database).

The structure in POSCAR format:
```
FeAs3
1.0
5.790 0.000 0.000
-2.895 5.014 0.000
0.000 0.000 9.606
Fe As
4 12
Cartesian
0.000 0.000 0.000
0.000 0.000 4.803
0.000 3.343 2.402
2.895 1.671 7.205
-1.447 2.507 0.000
-1.447 2.507 4.803
0.000 1.520 7.205
-1.579 4.254 7.205
1.316 0.760 2.402
2.895 0.000 0.000
2.895 0.000 4.803
1.447 2.507 0.000
1.447 2.507 4.803
1.579 4.254 7.205
4.474 0.760 2.402
2.895 3.494 2.402
```

## Properties
E_form = 0.525 eV/atom
DFT total energy = -0.373 Ry/atom
Fermi-level density of states = 1.351 states/eV per atom
relative energy among the computed polymorphs = 0.478 eV/atom

# HoTh3As4

A relaxed HoTh3As4 crystal (PBE, the Alexandria database).

The structure in POSCAR format:
```
HoTh3As4
1.0
5.972 0.000 0.000
0.000 5.972 0.000
0.000 0.000 5.972
Ho Th As
1 3 4
Cartesian
0.000 0.000 0.000
0.000 2.986 2.986
2.986 0.000 2.986
2.986 2.986 0.000
0.000 0.000 2.986
0.000 2.986 0.000
2.986 0.000 0.000
2.986 2.986 2.986
```

## Properties
E_form = -1.424 eV/atom
DFT total energy = -0.522 Ry/atom
Fermi-level density of states = 0.403 states/eV per atom